K4RbPu3O12 | PBE-GGA | relaxed

Unit cell a=7.6415 b=7.6415 c=7.6415 alpha=109.47 beta=109.47 gamma=109.47
Fractional positions:
Pu1 0.5000 0.0000 0.5000
O1 0.2906 0.2906 0.0000
O2 0.2500 0.5000 0.7500
Rb1 0.0000 0.0000 0.0000
O3 0.7500 0.2500 0.5000
K1 0.0000 0.5000 0.0000
K2 0.5000 0.0000 0.0000
O4 0.0000 0.2906 0.2906
O5 0.7500 0.5000 0.2500
O6 0.5000 0.7500 0.2500
O7 0.2500 0.7500 0.5000
K3 0.5000 0.5000 0.5000
O8 0.2906 0.0000 0.2906
O9 0.7094 0.7094 0.0000
O10 0.7094 0.0000 0.7094
K4 0.0000 0.0000 0.5000
O11 0.0000 0.7094 0.7094
O12 0.5000 0.2500 0.7500
Pu2 0.5000 0.5000 0.0000
Pu3 0.0000 0.5000 0.5000

Values from the calculation:
- formation energy from raw total energies (eV per formula unit) = -46.179
- spin magnetization (μB/f.u.) = 5.0

***

InTcW2 | PBE-GGA | relaxed

Unit cell a=4.3314 b=2.8297 c=5.7117 alpha=74.29 beta=90.00 gamma=90.00
Fractional positions:
In1 0.0000 0.5162 0.5032
W1 0.5000 0.1944 0.2364
W2 0.0000 0.9914 0.9974
Tc1 0.5000 0.7980 0.7629

Values from the calculation:
- E above lowest polymorph (eV/atom) = 0.1126
- spin magnetization (μB/f.u.) = 0.0
- energy of formation from the pure elements (eV per formula unit) = 1.6